Entry 1:
5
Lattice="4.875 0.000 0.000 0.000 4.875 0.000 0.000 0.000 3.772" Properties=species:S:1:pos:R:3 comment="NaAsHSe2, relaxed, DFT PBE-GGA" relative_energy_mev_per_atom=0 pbc="T T T"
As 0.000 0.000 1.886
H 0.000 0.000 0.000
Na 2.438 2.438 1.886
Se 2.438 0.000 0.000
Se 0.000 2.438 0.000


Entry 2:
A plane-wave DFT calculation with PBE-GGA was carried out for a relaxed structure of Ba2PPb2.

extended XYZ file:
```
10
Lattice="8.102 0.000 0.000 0.000 8.102 0.000 0.000 0.000 5.405" Properties=species:S:1:pos:R:3 pbc="T T T"
P 0.000 0.000 0.000
P 4.051 4.051 0.000
Ba 2.662 1.389 2.702
Ba 5.440 6.713 2.702
Ba 1.389 5.440 2.702
Ba 6.713 2.662 2.702
Pb 2.920 6.971 0.000
Pb 6.971 5.182 0.000
Pb 5.182 1.131 0.000
Pb 1.131 2.920 0.000
```


Entry 3:
18
Lattice="-2.121 7.062 -2.143 -4.350 -6.047 -1.863 -8.666 1.782 14.452" Properties=species:S:1:pos:R:3 comment="RbDyScI6, relaxed, DFT PBE-GGA" formation_energy_uncorrected_ev_per_atom=-1.293 pbc="T T T"
I -2.878 -1.907 1.417
I -5.397 0.861 -0.435
I -9.715 1.844 6.789
I -9.740 1.936 10.881
I -6.351 -3.204 -0.506
I -12.259 4.704 9.029
I -5.865 -3.192 3.903
I -6.409 3.699 8.542
I -9.272 5.990 6.543
I -8.786 6.001 10.952
I -8.728 -0.902 1.904
I -5.423 0.953 3.657
Sc -5.774 -1.232 1.657
Sc -9.364 4.029 8.789
Rb 0.000 0.000 0.000
Rb -4.333 0.891 7.226
Dy -5.031 3.138 1.563
Dy -10.107 -0.341 8.883


Entry 4:
A plane-wave DFT calculation with PBE-GGA was carried out for a relaxed structure of ZnInIr2.

extended XYZ file:
```
4
Lattice="-4.179 0.065 7.462 -6.477 -0.143 5.583 -5.016 -2.594 6.423" Properties=species:S:1:pos:R:3 pbc="T T T"
Ir -15.616 -2.662 19.398
Ir -7.893 -1.346 9.804
Zn -3.918 -0.668 4.867
In -11.754 -2.004 14.601
```


Entry 5:
A plane-wave DFT calculation with PBE-GGA was carried out for a relaxed structure of K10NaHg4.

extended XYZ file:
```
15
Lattice="7.842 0.000 3.541 3.921 9.606 1.771 -0.032 0.000 10.525" Properties=species:S:1:pos:R:3 pbc="T T T"
Na 0.000 0.000 0.000
K 7.826 4.803 8.804
K 9.312 6.602 5.336
K 4.579 1.031 5.363
K 6.208 3.003 12.212
K 10.941 8.575 12.184
K 7.152 8.575 10.474
K 5.524 6.602 3.625
K 3.905 4.803 7.033
K 0.791 1.031 3.652
K 2.419 3.003 10.501
Hg 3.134 3.827 3.514
Hg 8.597 5.779 12.323
Hg 6.267 7.693 7.029
Hg 5.464 1.912 8.808
```


Entry 6:
5
Lattice="-4.100 0.520 -2.923 -0.080 -5.002 -0.776 -3.021 -0.593 4.132" Properties=species:S:1:pos:R:3 comment="ScTcAsSe2, relaxed, DFT PBE-GGA" formation_energy_uncorrected_ev_per_atom=0.479 relative_energy_mev_per_atom=402 pbc="T T T"
Se -0.040 -2.501 -0.388
Se -2.050 0.260 -1.462
As -1.510 -0.296 2.066
Sc 0.000 0.000 0.000
Tc -3.601 -2.537 0.216


Entry 7:
A plane-wave DFT calculation with PBE-GGA was carried out for a relaxed structure of HoErMgBi.

extended XYZ file:
```
4
Lattice="5.403 0.000 0.000 2.701 4.679 0.000 2.701 1.560 4.411" Properties=species:S:1:pos:R:3 pbc="T T T"
Bi 5.403 3.119 2.206
Ho 8.104 4.679 3.308
Er 2.701 1.560 1.103
Mg 0.000 0.000 0.000
```


Entry 8:
4
Lattice="-1.038 -1.285 -4.637 1.696 0.214 -4.616 2.498 -4.551 -0.372" Properties=species:S:1:pos:R:3 comment="LaIrRh2, relaxed, DFT PBE-GGA" relative_energy_mev_per_atom=386 pbc="T T T"
Rh 1.244 -2.174 -6.940
Rh 1.911 -3.449 -2.685
Ir 1.249 -2.276 -0.186
La 0.329 -0.536 -4.626


Entry 9:
5
Lattice="4.531 0.000 0.000 0.000 4.531 0.000 0.000 0.000 3.778" Properties=species:S:1:pos:R:3 comment="Mg2GaAgH, relaxed, DFT PBE-GGA" relative_energy_mev_per_atom=0 pbc="T T T"
Mg 2.265 0.000 0.000
Mg 0.000 2.265 0.000
Ga 0.000 0.000 1.889
Ag 2.265 2.265 1.889
H 0.000 0.000 0.000


Entry 10:
6
Lattice="-1.099 3.665 2.201 -1.972 -2.453 3.095 6.518 -0.366 3.855" Properties=species:S:1:pos:R:3 comment="KSiPt, relaxed, DFT PBE-GGA" formation_energy_uncorrected_ev_per_atom=-0.456 relative_energy_mev_per_atom=0 pbc="T T T"
Si 0.442 0.491 2.635
Si 3.546 0.838 8.042
K 3.768 0.305 4.609
K 0.220 1.024 6.069
Pt -1.482 -0.676 3.633
Pt -1.048 2.371 3.189


Entry 11:
6
Lattice="0.000 4.114 4.114 4.114 0.000 4.114 4.114 4.114 0.000" Properties=species:S:1:pos:R:3 comment="Mg4AuBr, relaxed, DFT PBE-GGA" formation_energy_uncorrected_ev_per_atom=0.019 pbc="T T T"
Mg 3.092 3.092 3.092
Mg 5.136 3.092 5.136
Mg 3.092 5.136 5.136
Mg 5.136 5.136 3.092
Au 6.171 6.171 6.171
Br 0.000 0.000 0.000


Entry 12:
A plane-wave DFT calculation with PBE-GGA was carried out for a relaxed structure of Y3Ir.

extended XYZ file:
```
4
Lattice="-3.542 -2.323 0.921 4.755 -3.598 -0.994 1.800 -1.265 3.736" Properties=species:S:1:pos:R:3 pbc="T T T"
Ir 0.000 0.000 0.000
Y -0.871 -1.794 2.328
Y 1.071 -4.490 2.995
Y 1.942 -2.696 0.667
```


Total magnetization, record by record: 0.000, 0.000, 1.032, 0.000, 0.000, 3.548, 0.000, 0.000, 0.000, 0.000, 0.000, 0.000 μB per formula unit
VASP energy, record by record: -3.10, -3.67, -3.65, -5.36, -0.99, -5.18, -3.93, -7.24, -2.51, -4.64, -1.87, -7.18 eV/atom